The following is a DFT calculation (PBE) of a relaxed structure of NaTbNO.

abc: 4.722 3.814 7.315
angles: 90.00 90.00 90.00
Fractional positions:
Na1 0.250 0.000 0.139
Na2 0.750 0.000 0.861
Tb1 0.250 0.500 0.679
Tb2 0.750 0.500 0.321
N1 0.250 0.500 0.363
N2 0.750 0.500 0.637
O1 0.250 0.000 0.826
O2 0.750 0.000 0.174

As for the space group: Pmma (51). Its magnetization is 0.9 μB per formula unit. The energy above the lowest structure with this stoichiometry is 0.000 eV/atom.


The following is a DFT calculation (PBE) of a relaxed structure of NaTmNO.

abc: 6.394 7.713 5.672
angles: 90.00 90.00 90.00
Fractional positions:
Na1 0.071 0.112 0.000
Na2 0.429 0.112 0.500
Na3 0.571 0.888 0.000
Na4 0.929 0.888 0.500
Tm1 0.077 0.618 0.962
Tm2 0.423 0.618 0.462
Tm3 0.577 0.382 0.962
Tm4 0.923 0.382 0.462
N1 0.078 0.158 0.584
N2 0.422 0.158 0.084
N3 0.578 0.842 0.584
N4 0.922 0.842 0.084
O1 0.105 0.600 0.585
O2 0.395 0.600 0.085
O3 0.605 0.400 0.585
O4 0.895 0.400 0.085

As for the space group: Pca2_1 (29). Its magnetization is 1.0 μB per formula unit. The energy above the lowest structure with this stoichiometry is 0.238 eV/atom.


The following is a DFT calculation (PBE) of a relaxed structure of NaTmNO.

abc: 4.590 4.041 6.764
angles: 90.00 90.00 90.00
Fractional positions:
Na1 0.250 0.000 0.170
Na2 0.750 0.000 0.830
Tm1 0.250 0.500 0.678
Tm2 0.750 0.500 0.322
N1 0.250 0.000 0.821
N2 0.750 0.000 0.179
O1 0.250 0.500 0.359
O2 0.750 0.500 0.641

As for the space group: Pmma (51). Its magnetization is 1.0 μB per formula unit. The energy above the lowest structure with this stoichiometry is 0.049 eV/atom.


The following is a DFT calculation (PBE) of a relaxed structure of NaTmNO.

abc: 3.392 3.392 4.532
angles: 90.00 90.00 90.00
Fractional positions:
Na1 0.000 0.000 0.000
Tm1 0.500 0.500 0.500
N1 0.000 0.000 0.500
O1 0.500 0.500 0.000

As for the space group: P4/mmm (123). Its magnetization is 1.0 μB per formula unit. The energy above the lowest structure with this stoichiometry is 0.028 eV/atom.


The following is a DFT calculation (PBE) of a relaxed structure of NaTmNO.

abc: 4.647 3.699 7.297
angles: 90.00 90.00 90.00
Fractional positions:
Na1 0.250 0.000 0.136
Na2 0.750 0.000 0.864
Tm1 0.250 0.500 0.674
Tm2 0.750 0.500 0.326
N1 0.250 0.500 0.364
N2 0.750 0.500 0.636
O1 0.250 0.000 0.821
O2 0.750 0.000 0.179

As for the space group: Pmma (51). Its magnetization is 0.8 μB per formula unit. The energy above the lowest structure with this stoichiometry is 0.000 eV/atom.


The following is a DFT calculation (PBE) of a relaxed structure of NaTmNO.

abc: 6.694 8.056 4.724
angles: 90.00 90.00 90.00
Fractional positions:
Na1 0.097 0.103 0.000
Na2 0.403 0.103 0.500
Na3 0.597 0.897 0.000
Na4 0.903 0.897 0.500
Tm1 0.071 0.638 0.998
Tm2 0.429 0.638 0.498
Tm3 0.571 0.362 0.998
Tm4 0.929 0.362 0.498
N1 0.098 0.609 0.498
N2 0.402 0.609 0.998
N3 0.598 0.391 0.498
N4 0.902 0.391 0.998
O1 0.069 0.141 0.501
O2 0.431 0.141 0.001
O3 0.569 0.859 0.501
O4 0.931 0.859 0.001

As for the space group: Pca2_1 (29). Its magnetization is 0.9 μB per formula unit. The energy above the lowest structure with this stoichiometry is 0.086 eV/atom.


The following is a DFT calculation (PBE) of a relaxed structure of NaTmNO.

abc: 3.703 3.703 8.261
angles: 90.00 90.00 90.00
Fractional positions:
Na1 0.250 0.750 0.000
Na2 0.750 0.250 0.000
Tm1 0.250 0.250 0.363
Tm2 0.750 0.750 0.637
N1 0.250 0.250 0.813
N2 0.750 0.750 0.187
O1 0.250 0.750 0.500
O2 0.750 0.250 0.500

As for the space group: P4/nmm (129). Its magnetization is 1.0 μB per formula unit. The energy above the lowest structure with this stoichiometry is 0.310 eV/atom.


The following is a DFT calculation (PBE) of a relaxed structure of NaTmNO.

abc: 4.799 4.799 4.530
angles: 90.00 90.00 90.00
Fractional positions:
Na1 0.250 0.250 0.001
Na2 0.750 0.750 0.999
Tm1 0.250 0.750 0.500
Tm2 0.750 0.250 0.500
N1 0.250 0.250 0.501
N2 0.750 0.750 0.499
O1 0.250 0.750 0.000
O2 0.750 0.250 0.000

As for the space group: P4/nmm (129). Its magnetization is 1.0 μB per formula unit. The energy above the lowest structure with this stoichiometry is 0.028 eV/atom.


The following is a DFT calculation (PBE) of a relaxed structure of NaZnNO.

abc: 4.453 3.551 5.849
angles: 90.00 90.00 90.00
Fractional positions:
Na1 0.250 0.000 0.164
Na2 0.750 0.000 0.836
Zn1 0.250 0.500 0.705
Zn2 0.750 0.500 0.295
N1 0.250 0.000 0.564
N2 0.750 0.000 0.436
O1 0.000 0.500 0.000
O2 0.500 0.500 0.000

As for the space group: Pmma (51). The energy above the lowest structure with this stoichiometry is 0.039 eV/atom.


The following is a DFT calculation (PBE) of a relaxed structure of NaZnNO.

abc: 3.536 3.536 8.641
angles: 90.00 90.00 90.00
Fractional positions:
Na1 0.250 0.250 0.169
Na2 0.750 0.750 0.831
Zn1 0.250 0.750 0.500
Zn2 0.750 0.250 0.500
N1 0.250 0.250 0.617
N2 0.750 0.750 0.383
O1 0.250 0.750 0.000
O2 0.750 0.250 0.000

As for the space group: P4/nmm (129). The energy above the lowest structure with this stoichiometry is 0.380 eV/atom.